! TbEr2Sc9 PBE relaxed; values from VASP
&SYSTEM
  ibrav = 0, nat = 12, ntyp = 3
/
ATOMIC_SPECIES
Tb 158.93 Tb.upf
Er 167.26 Er.upf
Sc 44.96 Sc.upf
ATOMIC_POSITIONS crystal
Tb 0.000 0.000 0.000
Er 0.137 0.137 0.137
Er 0.863 0.863 0.863
Sc 0.075 0.594 0.594
Sc 0.335 0.335 0.335
Sc 0.406 0.406 0.925
Sc 0.406 0.925 0.406
Sc 0.500 0.500 0.500
Sc 0.594 0.075 0.594
Sc 0.594 0.594 0.075
Sc 0.665 0.665 0.665
Sc 0.925 0.406 0.406
CELL_PARAMETERS angstrom
3.174 1.832 9.475
-3.174 1.832 9.475
0.000 -3.665 9.475
! size of the total moment = 1.65 μB per cell
! raw total energy = -5.639 eV/atom
! volume = 330.7 Å³ per cell
! energy of formation = 0.256 eV/atom
! space group = No. 166

***

! LaInBr2 PBE relaxed; values from VASP
&SYSTEM
  ibrav = 0, nat = 4, ntyp = 3
/
ATOMIC_SPECIES
La 138.91 La.upf
In 114.82 In.upf
Br 79.90 Br.upf
ATOMIC_POSITIONS crystal
La 0.000 0.000 0.000
In 0.500 0.500 0.500
Br 0.250 0.250 0.250
Br 0.750 0.750 0.750
CELL_PARAMETERS angstrom
0.000 3.857 3.857
3.857 0.000 3.857
3.857 3.857 0.000
! formation energy without anion corrections = -885.7 meV/atom
! E above lowest polymorph = 235 meV/atom
! size of the total moment = 1.39 μB per cell
! raw total energy = -3.639 eV/atom
! volume = 114.7 Å³ per cell
! space group = No. 225

***

! Sc5SnRh6 PBE relaxed; values from VASP
&SYSTEM
  ibrav = 0, nat = 12, ntyp = 3
/
ATOMIC_SPECIES
Sc 44.96 Sc.upf
Sn 118.71 Sn.upf
Rh 102.91 Rh.upf
ATOMIC_POSITIONS crystal
Sc 0.000 0.000 0.000
Sc 0.333 0.667 0.000
Sc 0.336 0.664 0.500
Sc 0.664 0.336 0.500
Sc 0.667 0.333 0.000
Sn 0.000 0.000 0.500
Rh 0.168 0.832 0.250
Rh 0.168 0.832 0.750
Rh 0.500 0.500 0.245
Rh 0.500 0.500 0.755
Rh 0.832 0.168 0.250
Rh 0.832 0.168 0.750
CELL_PARAMETERS angstrom
2.280 -6.837 0.000
2.280 6.837 0.000
0.000 0.000 6.469
! size of the total moment = 0.00 μB per cell
! raw total energy = -7.624 eV/atom
! volume = 201.7 Å³ per cell
! energy of formation = -0.977 eV/atom
! space group = No. 65

***

! TbPmPr3Sm PBE relaxed; values from VASP
&SYSTEM
  ibrav = 0, nat = 12, ntyp = 4
/
ATOMIC_SPECIES
Tb 158.93 Tb.upf
Pm 145.00 Pm.upf
Pr 140.91 Pr.upf
Sm 150.36 Sm.upf
ATOMIC_POSITIONS crystal
Tb 0.167 0.833 0.750
Tb 0.833 0.167 0.250
Pm 0.482 0.518 0.750
Pm 0.518 0.482 0.250
Pr 0.148 0.852 0.250
Pr 0.333 0.667 0.015
Pr 0.333 0.667 0.485
Pr 0.667 0.333 0.515
Pr 0.667 0.333 0.985
Pr 0.852 0.148 0.750
Sm 0.000 0.000 0.000
Sm 0.000 0.000 0.500
CELL_PARAMETERS angstrom
3.040 -5.633 0.000
3.040 5.633 0.000
0.000 0.000 12.141
! size of the total moment = 0.00 μB per cell
! raw total energy = -4.629 eV/atom
! volume = 415.7 Å³ per cell
! energy of formation = 0.110 eV/atom
! space group = No. 63

***

! Dy2ScZn2 PBE relaxed; values from VASP
&SYSTEM
  ibrav = 0, nat = 5, ntyp = 3
/
ATOMIC_SPECIES
Dy 162.50 Dy.upf
Sc 44.96 Sc.upf
Zn 65.41 Zn.upf
ATOMIC_POSITIONS crystal
Dy 0.214 0.214 0.000
Dy 0.786 0.786 0.000
Sc 0.500 0.000 0.500
Zn 0.195 0.500 0.695
Zn 0.805 0.500 0.305
CELL_PARAMETERS angstrom
-1.872 3.300 4.839
1.872 -3.300 4.839
1.872 3.300 -4.839
! E above lowest polymorph = 7 meV/atom
! size of the total moment = 0.00 μB per cell
! raw total energy = -3.803 eV/atom
! volume = 119.6 Å³ per cell
! energy of formation = -0.186 eV/atom
! space group = No. 71

***

! Al2NiBr PBE relaxed; values from VASP
&SYSTEM
  ibrav = 0, nat = 4, ntyp = 3
/
ATOMIC_SPECIES
Al 26.98 Al.upf
Ni 58.69 Ni.upf
Br 79.90 Br.upf
ATOMIC_POSITIONS crystal
Al 0.000 0.000 0.190
Al 0.000 0.000 0.810
Ni 0.500 0.500 0.000
Br 0.500 0.500 0.500
CELL_PARAMETERS angstrom
3.064 0.000 0.000
0.000 3.064 0.000
0.000 0.000 7.270
! formation energy without anion corrections = -94.8 meV/atom
! E above lowest polymorph = 178 meV/atom
! size of the total moment = 0.00 μB per cell
! raw total energy = -3.830 eV/atom
! volume = 68.3 Å³ per cell
! space group = No. 123

***

! Cs2CI6O PBE relaxed; values from VASP
&SYSTEM
  ibrav = 0, nat = 10, ntyp = 4
/
ATOMIC_SPECIES
Cs 132.91 Cs.upf
C 12.01 C.upf
I 126.90 I.upf
O 16.00 O.upf
ATOMIC_POSITIONS crystal
Cs 0.250 0.750 0.500
Cs 0.750 0.250 0.500
C 0.000 0.000 0.000
I 0.185 0.185 0.000
I 0.256 0.256 0.512
I 0.256 0.744 0.000
I 0.744 0.256 0.000
I 0.744 0.744 0.488
I 0.815 0.815 0.000
O 0.500 0.500 0.000
CELL_PARAMETERS angstrom
-3.547 3.547 7.486
3.547 -3.547 7.486
3.547 3.547 -7.486
! formation energy without anion corrections = -7.4 meV/atom
! size of the total moment = 0.00 μB per cell
! raw total energy = -2.526 eV/atom
! volume = 376.8 Å³ per cell
! space group = No. 139

***

! AgP2Se4 PBE relaxed; values from VASP
&SYSTEM
  ibrav = 0, nat = 7, ntyp = 3
/
ATOMIC_SPECIES
Ag 107.87 Ag.upf
P 30.97 P.upf
Se 78.96 Se.upf
ATOMIC_POSITIONS crystal
Ag 0.000 0.000 0.000
P 0.250 0.750 0.500
P 0.750 0.250 0.500
Se 0.172 0.677 0.849
Se 0.323 0.172 0.494
Se 0.677 0.828 0.506
Se 0.828 0.323 0.151
CELL_PARAMETERS angstrom
-3.786 3.786 3.120
3.786 -3.786 3.120
3.786 3.786 -3.120
! formation energy without anion corrections = 143.6 meV/atom
! size of the total moment = 0.00 μB per cell
! raw total energy = -3.801 eV/atom
! volume = 178.9 Å³ per cell
! space group = No. 87